VASP calculation (PBE-GGA) on a relaxed ScNiIr3 crystal.

Cell: 4.482 4.482 4.482 Å, 90.00 90.00 90.00°
Element x y z (fractional)
Sc 0.000 0.000 0.000
Ni 0.500 0.500 0.500
Ir 0.000 0.500 0.500
Ir 0.500 0.000 0.500
Ir 0.500 0.500 0.000

Results
Calculated volume = 90.0 Å³/f.u.
Calculated total energy = -7.005 eV per atom
Total moment = 2.7 μB/cell
Relative energy among the computed polymorphs = 0.0 meV/atom